The following is a PBE calculation of an optimized crystal structure of NaBiH2, from Alexandria.

abc: 8.504 8.862 4.684
angles: 93.95 94.51 32.89
Positions (direct):
H1 0.601 0.859 0.285
Bi1 0.196 0.925 0.517
Bi2 0.044 0.837 0.984
Na1 0.518 0.321 0.479
H2 0.676 0.857 0.202
Na2 0.723 0.442 0.022
H3 0.123 0.418 0.792
H4 0.119 0.341 0.719

- theoretical density (g/cm3) = 4.07
- calculated volume (Å³ per atom) = 23.88
- E (eV per atom) = -3.07
- space-group type = No. 1
- relative energy among the computed polymorphs (kcal/mol of atoms) = 0.000